(1)
RbSbTe2Au | PBE | relaxed

a b c (Å): 5.778 5.778 5.314
angles (deg): 90.00 90.00 90.00
Sites, in units of the cell vectors:
1 Rb 0.000 0.000 0.000
2 Sb 0.500 0.500 0.000
3 Te 0.000 0.500 0.500
4 Te 0.500 0.000 0.500
5 Au 0.500 0.500 0.500

Energy relative to the lowest polymorph listed for this composition ... 216 meV per atom
M_tot ... 0.00 μB per atom
Uncorrected formation energy ... -0.04 eV per atom
Space group ... P4/mmm


(2)
SrPaSi2Pt4 | PBE | relaxed

a b c (Å): 4.408 4.408 8.424
angles (deg): 90.00 90.00 90.00
Sites, in units of the cell vectors:
1 Sr 0.000 0.000 0.000
2 Pa 0.000 0.000 0.500
3 Si 0.500 0.500 0.153
4 Si 0.500 0.500 0.847
5 Pt 0.000 0.500 0.281
6 Pt 0.000 0.500 0.719
7 Pt 0.500 0.000 0.281
8 Pt 0.500 0.000 0.719

M_tot ... 0.00 μB per atom
Uncorrected formation energy ... -0.81 eV per atom
Space group ... P4/mmm


(3)
Hf6Ga5As | PBE | relaxed

a b c (Å): 6.537 6.537 6.926
angles (deg): 99.11 99.11 120.40
Sites, in units of the cell vectors:
1 Hf 0.081 0.411 0.243
2 Hf 0.249 0.249 0.759
3 Hf 0.411 0.081 0.243
4 Hf 0.589 0.919 0.757
5 Hf 0.751 0.751 0.241
6 Hf 0.919 0.589 0.757
7 Ga 0.166 0.834 0.500
8 Ga 0.333 0.667 0.000
9 Ga 0.500 0.500 0.500
10 Ga 0.667 0.333 0.000
11 Ga 0.834 0.166 0.500
12 As 0.000 0.000 0.000

Calculated formation energy ... -0.3323 eV/atom
M_tot ... 0.00 μB per atom
Space group ... C2/m


(4)
Pd2RuAu | PBE | relaxed

a b c (Å): 4.501 4.501 4.501
angles (deg): 60.00 60.00 60.00
Sites, in units of the cell vectors:
1 Pd 0.250 0.250 0.250
2 Pd 0.750 0.750 0.750
3 Ru 0.000 0.000 0.000
4 Au 0.500 0.500 0.500

Energy relative to the lowest polymorph listed for this composition ... 209 meV per atom
Calculated formation energy ... 0.3050 eV/atom
M_tot ... 0.74 μB per atom
Space group ... Fm-3m


(5)
Ac4Ir2Pb | PBE | relaxed

a b c (Å): 7.625 7.625 14.885
angles (deg): 90.00 90.00 146.00
Sites, in units of the cell vectors:
1 Ac 0.000 0.000 0.000
2 Ac 0.000 0.000 0.500
3 Ac 0.267 0.733 0.609
4 Ac 0.267 0.733 0.891
5 Ac 0.434 0.566 0.250
6 Ac 0.566 0.434 0.750
7 Ac 0.733 0.267 0.109
8 Ac 0.733 0.267 0.391
9 Ir 0.369 0.631 0.063
10 Ir 0.369 0.631 0.437
11 Ir 0.631 0.369 0.563
12 Ir 0.631 0.369 0.937
13 Pb 0.111 0.889 0.250
14 Pb 0.889 0.111 0.750

Calculated formation energy ... -0.5967 eV/atom
M_tot ... 0.00 μB per atom
Space group ... Cmcm


(6)
ScNi2Ru | PBE | relaxed

a b c (Å): 4.618 4.616 3.832
angles (deg): 65.51 65.45 49.04
Sites, in units of the cell vectors:
1 Sc 0.000 0.000 0.000
2 Ni 0.250 0.250 0.250
3 Ni 0.750 0.750 0.750
4 Ru 0.500 0.500 0.500

Calculated formation energy ... -0.2073 eV/atom
M_tot ... 0.00 μB per atom
Space group ... Fmmm


(7)
Sr3Cd2In | PBE | relaxed

a b c (Å): 8.999 8.999 4.142
angles (deg): 90.00 90.00 142.98
Sites, in units of the cell vectors:
1 Sr 0.000 0.000 0.000
2 Sr 0.333 0.667 0.000
3 Sr 0.667 0.333 0.000
4 Cd 0.165 0.835 0.500
5 Cd 0.835 0.165 0.500
6 In 0.500 0.500 0.500

Energy relative to the lowest polymorph listed for this composition ... 0 meV per atom
Calculated formation energy ... -0.3736 eV/atom
M_tot ... 0.00 μB per atom
Space group ... Cmmm


(8)
TaPdPt | PBE | relaxed

a b c (Å): 4.481 4.481 2.800
angles (deg): 90.00 90.00 120.00
Sites, in units of the cell vectors:
1 Ta 0.000 0.000 0.000
2 Pd 0.333 0.667 0.247
3 Pt 0.667 0.333 0.658

Energy relative to the lowest polymorph listed for this composition ... 44 meV per atom
Calculated formation energy ... -0.4446 eV/atom
M_tot ... 0.00 μB per atom
Space group ... P3m1


(9)
NaHoBi2Se4 | PBE | relaxed

a b c (Å): 7.579 4.085 8.008
angles (deg): 90.00 107.72 90.00
Sites, in units of the cell vectors:
1 Na 0.000 0.000 0.000
2 Ho 0.500 0.500 0.500
3 Bi 0.000 0.000 0.500
4 Bi 0.500 0.500 0.000
5 Se 0.122 0.500 0.292
6 Se 0.398 0.000 0.714
7 Se 0.602 0.000 0.286
8 Se 0.878 0.500 0.708

M_tot ... 0.00 μB per atom
Uncorrected formation energy ... -0.85 eV per atom
Space group ... P2/m


(10)
Er2LuCu | PBE | relaxed

a b c (Å): 9.982 9.982 9.982
angles (deg): 20.31 20.31 20.31
Sites, in units of the cell vectors:
1 Er 0.236 0.236 0.236
2 Er 0.764 0.764 0.764
3 Lu 0.000 0.000 0.000
4 Cu 0.500 0.500 0.500

Energy relative to the lowest polymorph listed for this composition ... 133 meV per atom
Calculated formation energy ... 0.0323 eV/atom
M_tot ... 0.00 μB per atom
Space group ... R-3m


(11)
Tm3Th4Se8 | PBE | relaxed

a b c (Å): 9.258 9.258 9.258
angles (deg): 49.54 49.54 49.54
Sites, in units of the cell vectors:
1 Tm 0.000 0.500 0.500
2 Tm 0.500 0.000 0.500
3 Tm 0.500 0.500 0.000
4 Th 0.000 0.000 0.000
5 Th 0.152 0.152 0.152
6 Th 0.500 0.500 0.500
7 Th 0.848 0.848 0.848
8 Se 0.249 0.249 0.732
9 Se 0.249 0.732 0.249
10 Se 0.268 0.268 0.268
11 Se 0.268 0.751 0.751
12 Se 0.732 0.249 0.249
13 Se 0.732 0.732 0.732
14 Se 0.751 0.268 0.751
15 Se 0.751 0.751 0.268

M_tot ... 0.03 μB per atom
Uncorrected formation energy ... -1.35 eV per atom
Space group ... R-3m


(12)
FeAs2Br8 | PBE | relaxed

a b c (Å): 7.092 7.092 9.469
angles (deg): 91.54 91.54 79.40
Sites, in units of the cell vectors:
1 Fe 0.000 0.000 0.000
2 As 0.145 0.145 0.353
3 As 0.855 0.855 0.647
4 Br 0.098 0.701 0.852
5 Br 0.146 0.146 0.621
6 Br 0.299 0.902 0.148
7 Br 0.361 0.361 0.341
8 Br 0.639 0.639 0.659
9 Br 0.701 0.098 0.852
10 Br 0.854 0.854 0.379
11 Br 0.902 0.299 0.148

M_tot ... 0.36 μB per atom
Uncorrected formation energy ... -0.30 eV per atom
Space group ... C2/m


(13)
Pm2SnS5 | PBE | relaxed

a b c (Å): 7.370 7.370 13.073
angles (deg): 90.00 90.00 137.97
Sites, in units of the cell vectors:
1 Pm 0.150 0.850 0.569
2 Pm 0.150 0.850 0.931
3 Pm 0.850 0.150 0.069
4 Pm 0.850 0.150 0.431
5 Sn 0.170 0.830 0.250
6 Sn 0.830 0.170 0.750
7 S 0.045 0.955 0.112
8 S 0.045 0.955 0.388
9 S 0.276 0.724 0.750
10 S 0.294 0.706 0.095
11 S 0.294 0.706 0.405
12 S 0.706 0.294 0.595
13 S 0.706 0.294 0.905
14 S 0.724 0.276 0.250
15 S 0.955 0.045 0.612
16 S 0.955 0.045 0.888

Energy relative to the lowest polymorph listed for this composition ... 127 meV per atom
M_tot ... 0.00 μB per atom
Uncorrected formation energy ... -1.31 eV per atom
Space group ... Cmcm


(14)
MgAlBr2 | PBE | relaxed

a b c (Å): 5.316 5.316 5.316
angles (deg): 60.00 60.00 60.00
Sites, in units of the cell vectors:
1 Mg 0.000 0.000 0.000
2 Al 0.750 0.750 0.750
3 Br 0.250 0.250 0.250
4 Br 0.500 0.500 0.500

Energy relative to the lowest polymorph listed for this composition ... 641 meV per atom
M_tot ... 0.20 μB per atom
Uncorrected formation energy ... 0.00 eV per atom
Space group ... F-43m


(15)
Pm3Co4Si2 | PBE | relaxed

a b c (Å): 5.476 5.476 8.233
angles (deg): 100.92 100.92 41.62
Sites, in units of the cell vectors:
1 Pm 0.000 0.000 0.000
2 Pm 0.381 0.381 0.621
3 Pm 0.619 0.619 0.379
4 Co 0.094 0.094 0.645
5 Co 0.270 0.270 0.917
6 Co 0.730 0.730 0.083
7 Co 0.906 0.906 0.355
8 Si 0.318 0.318 0.211
9 Si 0.682 0.682 0.789

M_tot ... 0.00 μB per atom
Uncorrected formation energy ... -0.46 eV per atom
Space group ... C2/m


(16)
CaReSi2 | PBE | relaxed

a b c (Å): 8.545 8.545 8.545
angles (deg): 145.93 145.93 48.95
Sites, in units of the cell vectors:
1 Ca 0.375 0.625 0.750
2 Ca 0.625 0.375 0.250
3 Re 0.125 0.875 0.250
4 Re 0.875 0.125 0.750
5 Si 0.000 0.000 0.000
6 Si 0.000 0.000 0.500
7 Si 0.000 0.500 0.000
8 Si 0.500 0.000 0.500

M_tot ... 0.00 μB per atom
Uncorrected formation energy ... 0.02 eV per atom
Space group ... I4_1/amd


(17)
Sc3Cd2C | PBE | relaxed

a b c (Å): 7.940 7.940 3.268
angles (deg): 90.00 90.00 145.37
Sites, in units of the cell vectors:
1 Sc 0.000 0.000 0.000
2 Sc 0.396 0.604 0.500
3 Sc 0.604 0.396 0.500
4 Cd 0.198 0.802 0.000
5 Cd 0.802 0.198 0.000
6 C 0.500 0.500 0.000

Calculated formation energy ... -0.3878 eV/atom
M_tot ... 0.12 μB per atom
Space group ... Cmmm


(18)
LiCa4Mg5 | PBE | relaxed

a b c (Å): 3.777 3.777 20.393
angles (deg): 90.00 90.00 90.00
Sites, in units of the cell vectors:
1 Li 0.000 0.000 0.000
2 Ca 0.000 0.000 0.186
3 Ca 0.000 0.000 0.395
4 Ca 0.000 0.000 0.605
5 Ca 0.000 0.000 0.814
6 Mg 0.500 0.500 0.077
7 Mg 0.500 0.500 0.290
8 Mg 0.500 0.500 0.500
9 Mg 0.500 0.500 0.710
10 Mg 0.500 0.500 0.923

Calculated formation energy ... -0.0654 eV/atom
M_tot ... 0.00 μB per atom
Space group ... P4/mmm


(19)
LaAgP2S8 | PBE | relaxed

a b c (Å): 6.295 6.295 9.281
angles (deg): 90.00 90.00 120.00
Sites, in units of the cell vectors:
1 La 0.000 0.000 0.000
2 Ag 0.000 0.000 0.500
3 P 0.333 0.667 0.189
4 P 0.667 0.333 0.811
5 S 0.157 0.315 0.268
6 S 0.157 0.843 0.268
7 S 0.315 0.157 0.732
8 S 0.333 0.667 0.973
9 S 0.667 0.333 0.027
10 S 0.685 0.843 0.268
11 S 0.843 0.157 0.732
12 S 0.843 0.685 0.732

M_tot ... 0.00 μB per atom
Uncorrected formation energy ... -0.40 eV per atom
Space group ... P-3m1


(20)
SiNiIrI2 | PBE | relaxed

a b c (Å): 5.107 5.107 4.667
angles (deg): 90.00 90.00 90.00
Sites, in units of the cell vectors:
1 Si 0.000 0.000 0.000
2 Ni 0.500 0.500 0.500
3 Ir 0.500 0.500 0.000
4 I 0.000 0.500 0.500
5 I 0.500 0.000 0.500

Energy relative to the lowest polymorph listed for this composition ... 79 meV per atom
M_tot ... 0.22 μB per atom
Uncorrected formation energy ... 1.18 eV per atom
Space group ... P4/mmm